Entry 1:
A relaxed LiBe2SnBr crystal. Source: Alexandria, functional PBE.

**N(E_F)**: 0.00 states/eV per cell

```
5
Lattice="4.404 0.000 0.000 0.000 9.344 0.000 0.000 0.000 4.404" Properties=species:S:1:pos:R:3 pbc="T T T"
Be 2.202 0.000 0.000
Li 2.202 4.672 2.202
Br 0.000 4.672 0.000
Be 0.000 0.000 2.202
Sn 0.000 0.000 0.000
```

***

Entry 2:
A relaxed SrLi2BeBr crystal. Source: Alexandria, functional PBE.

**N(E_F)**: 5.65 states/eV per cell

```
5
Lattice="-4.224 -4.915 -0.807 3.074 -1.887 -4.599 3.607 -3.748 3.948" Properties=species:S:1:pos:R:3 pbc="T T T"
Be 1.537 -0.943 -2.300
Li -2.112 -2.457 -0.404
Li 1.803 -1.874 1.974
Br 1.228 -5.275 -0.729
Sr 0.000 0.000 0.000
```

***

Number 1: formation energy from raw total energies 0.3741 eV per atom. Number 2: formation energy from raw total energies 0.9116 eV per atom.